The following is a DFT calculation (PBE) of a relaxed structure of ErMg9Au2.

extended XYZ file:
```
24
Lattice="-5.918 5.918 3.744 5.918 -5.918 3.744 5.918 5.918 -3.744" Properties=species:S:1:pos:R:3 pbc="T T T"
Er 5.918 2.959 0.936
Er 0.000 2.959 2.808
Mg 5.918 -2.959 2.808
Mg 4.480 -0.620 1.360
Mg 7.357 -0.620 1.360
Mg 2.339 1.521 0.512
Mg 9.498 1.521 0.512
Mg 4.480 5.298 -1.360
Mg 1.439 -0.620 2.384
Mg 2.339 4.398 0.512
Mg 3.579 -1.521 4.256
Mg 2.339 7.439 -0.512
Mg 3.579 1.521 3.232
Mg 4.480 6.539 1.360
Mg 1.439 0.620 5.104
Mg -3.579 4.398 3.232
Mg 3.579 4.398 3.232
Mg -1.439 6.539 2.384
Mg 1.439 6.539 2.384
Mg 0.000 8.878 0.936
Au 0.000 0.000 0.000
Au 2.959 2.959 -1.872
Au 2.959 -2.959 1.872
Au 0.000 5.918 0.000
```

Summary:
Energy of formation from the pure elements, meV/atom: -244
Total moment, μB per atom: 0.000

=====

The following is a DFT calculation (PBE) of a relaxed structure of TbNdTm2Tl4.

extended XYZ file:
```
8
Lattice="2.690 1.553 8.820 -2.690 1.553 8.820 0.000 -3.106 8.820" Properties=species:S:1:pos:R:3 pbc="T T T"
Tb 0.000 0.000 0.000
Nd 0.000 0.000 13.229
Tm 0.000 0.000 6.626
Tm 0.000 0.000 19.833
Tl 0.000 0.000 3.270
Tl 0.000 0.000 9.888
Tl 0.000 0.000 16.571
Tl 0.000 0.000 23.189
```

Summary:
Energy of formation from the pure elements, meV/atom: -328
Total moment, μB per atom: 0.000

=====

The following is a DFT calculation (PBE) of a relaxed structure of ZrTl2Rh.

extended XYZ file:
```
8
Lattice="-3.928 3.928 2.928 3.928 -3.928 2.928 3.928 3.928 -2.928" Properties=species:S:1:pos:R:3 pbc="T T T"
Zr 0.000 0.000 0.000
Zr 0.000 3.928 1.464
Tl 1.964 -1.738 2.196
Tl 2.190 1.964 0.732
Tl 1.964 5.665 -0.732
Tl 1.738 1.964 3.660
Rh 3.928 0.000 1.464
Rh 0.000 0.000 2.928
```

Summary:
Energy of formation from the pure elements, meV/atom: 181
Total moment, μB per atom: 0.000

=====

> Number 3 is which compound?

ZrTl2Rh

=====

> What is the energy of formation from the pure elements in the second record?

-328 meV/atom